Computed, not measured: crystalline Gd2YMg3AgPd2 at its relaxed geometry at the GGA-PBE level of DFT.

Final energy in eV per atom: -4.2869

extended XYZ file:
```
9
Lattice="-2.352 -2.169 -2.483 3.645 -6.310 2.061 -6.131 2.276 3.819" Properties=species:S:1:pos:R:3 pbc="T T T"
Ag 0.000 0.000 0.000
Gd 2.115 -3.664 1.198
Gd -3.560 1.320 2.219
Mg -0.273 -2.659 -0.721
Mg -2.704 -0.524 -0.284
Mg -3.038 -4.106 3.163
Pd -0.788 -4.536 1.406
Pd -4.051 -1.669 1.993
Y -1.040 -1.688 2.460
```

---

Computed, not measured: crystalline Dy2AgPd at its relaxed geometry at the GGA-PBE level of DFT.

Final energy in eV per atom: -4.9165

extended XYZ file:
```
8
Lattice="4.681 0.000 0.000 0.000 5.619 0.000 0.000 0.000 7.082" Properties=species:S:1:pos:R:3 pbc="T T T"
Ag 0.000 2.279 0.258
Ag 0.000 3.340 3.799
Dy 0.000 5.083 1.317
Dy 2.340 2.153 2.249
Dy 0.000 0.536 4.858
Dy 2.340 3.466 5.790
Pd 2.340 5.028 3.259
Pd 2.340 0.590 6.800
```

---

Computed, not measured: crystalline PrNdCCl at its relaxed geometry at the GGA-PBE level of DFT.

Final energy in eV per atom: -6.1608

extended XYZ file:
```
8
Lattice="-1.026 -2.181 2.923 3.544 1.320 -0.226 -3.914 11.775 7.413" Properties=species:S:1:pos:R:3 pbc="T T T"
C 0.000 0.000 0.000
C -1.957 5.888 3.707
Cl 1.030 3.133 2.700
Cl -2.426 7.781 7.410
Nd -1.088 3.755 4.875
Nd -0.309 7.160 5.235
Pr 0.119 0.124 2.589
Pr -1.516 10.791 7.520
```

---

Computed, not measured: crystalline LuSbPb at its relaxed geometry at the GGA-PBE level of DFT.

Final energy in eV per atom: -4.2336

extended XYZ file:
```
3
Lattice="0.000 3.655 3.655 3.655 0.000 3.655 3.655 3.655 0.000" Properties=species:S:1:pos:R:3 pbc="T T T"
Lu 3.655 3.655 3.655
Pb 0.000 0.000 0.000
Sb 1.828 1.828 1.828
```